Nd2BeGaAu6: optimized geometry, PBE-GGA. Values from VASP.

The structure in Quantum ESPRESSO input format:
```
&SYSTEM
  ibrav = 0, nat = 10, ntyp = 4
/
ATOMIC_SPECIES
Nd 144.24 Nd.upf
Be 9.01 Be.upf
Ga 69.72 Ga.upf
Au 196.97 Au.upf
ATOMIC_POSITIONS crystal
Nd 0.217 0.235 0.332
Nd 0.783 0.765 0.668
Be 0.000 0.000 0.000
Ga 0.500 0.500 0.500
Au 0.237 0.657 0.861
Au 0.268 0.209 0.798
Au 0.270 0.780 0.207
Au 0.730 0.220 0.793
Au 0.732 0.791 0.202
Au 0.763 0.343 0.139
CELL_PARAMETERS angstrom
6.389 0.000 0.000
3.162 5.632 0.000
3.189 1.570 5.899
```

Values from the calculation:
- Space-group type: P-1 (2)
- DOS at the Fermi energy: 0.551 states/eV per atom
- Energy: -40.70 eV for the cell shown
- Total magnetic moment: 0.0 μB per cell